VASP calculation (PBE+U) on an optimized crystal structure of Fe2HBr2O2.

Cell: 4.714 4.714 9.217 Å, 91.42 91.42 42.00°
Element x y z (fractional)
1 Fe 0.232 0.232 0.132
2 Fe 0.768 0.768 0.868
3 H 0.500 0.500 0.000
4 Br 0.145 0.145 0.691
5 Br 0.855 0.855 0.309
6 O 0.369 0.369 0.958
7 O 0.631 0.631 0.042

Output
Space group: C2/m
DFT total energy, eV/atom: -4.8849